P) ## PmNdYCd (PBE-GGA)

Data for crystalline PmNdYCd at its relaxed geometry.

Cell lengths 3.679, 3.679, 9.098 Å; angles 90.00, 90.00, 90.00 degrees
Element x y z (fractional)
1 Pm 0.500 0.500 0.795
2 Nd 0.000 0.000 0.075
3 Y 0.500 0.500 0.351
4 Cd 0.000 0.000 0.564


Q) ## PmNdYCd (PBE-GGA)

Data for crystalline PmNdYCd at its relaxed geometry.

Cell lengths 5.550, 5.550, 5.550 Å; angles 60.00, 60.00, 60.00 degrees
Element x y z (fractional)
1 Y 0.750 0.750 0.750
2 Cd 0.500 0.500 0.500
3 Nd 0.250 0.250 0.250
4 Pm 0.000 0.000 0.000


The winner here is P), beating the second structure by 146 meV per atom.


P) ## PmNdZnCd (PBE-GGA)

Data for crystalline PmNdZnCd at its relaxed geometry.

Cell lengths 3.723, 3.723, 7.641 Å; angles 90.00, 90.00, 90.00 degrees
Element x y z (fractional)
1 Pm 0.500 0.500 0.127
2 Nd 0.500 0.500 0.587
3 Zn 0.000 0.000 0.353
4 Cd 0.000 0.000 0.860


Q) ## PmNdZnCd (PBE-GGA)

Data for crystalline PmNdZnCd at its relaxed geometry.

Cell lengths 5.323, 5.323, 5.323 Å; angles 60.00, 60.00, 60.00 degrees
Element x y z (fractional)
1 Zn 0.250 0.250 0.250
2 Cd 0.750 0.750 0.750
3 Nd 0.000 0.000 0.000
4 Pm 0.500 0.500 0.500


The winner here is P), beating the second structure by 24 meV per atom.


P) ## PrNd6Cd2 (PBE-GGA)

Data for crystalline PrNd6Cd2 at its relaxed geometry.

Cell lengths 6.256, 9.878, 9.878 Å; angles 72.97, 84.90, 84.90 degrees
Element x y z (fractional)
1 Pr 0.250 0.107 0.893
2 Pr 0.750 0.893 0.107
3 Nd 0.491 0.679 0.436
4 Nd 0.009 0.564 0.321
5 Nd 0.509 0.321 0.564
6 Nd 0.991 0.436 0.679
7 Nd 0.665 0.101 0.353
8 Nd 0.835 0.647 0.899
9 Nd 0.335 0.899 0.647
10 Nd 0.165 0.353 0.101
11 Nd 0.310 0.732 0.031
12 Nd 0.190 0.969 0.268
13 Nd 0.690 0.268 0.969
14 Nd 0.810 0.031 0.732
15 Cd 0.406 0.538 0.790
16 Cd 0.094 0.210 0.462
17 Cd 0.594 0.462 0.210
18 Cd 0.906 0.790 0.538


Q) ## PrNd6Cd2 (PBE-GGA)

Data for crystalline PrNd6Cd2 at its relaxed geometry.

Cell lengths 3.863, 6.788, 12.137 Å; angles 75.45, 80.84, 73.47 degrees
Element x y z (fractional)
1 Pr 0.000 0.000 0.000
2 Nd 0.684 0.507 0.124
3 Nd 0.316 0.493 0.876
4 Nd 0.312 0.790 0.586
5 Nd 0.981 0.698 0.339
6 Nd 0.019 0.302 0.661
7 Nd 0.688 0.210 0.414
8 Cd 0.353 0.087 0.208
9 Cd 0.647 0.913 0.792


The winner here is Q), beating the second structure by 63 meV per atom.